Entry 1:
This record from Alexandria via LeMat-Bulk describes an optimized crystal structure of GaPb2Br5. The functional is PBE.

Cell and atoms, written as extended XYZ:
```
32
Lattice="11.066 0.000 0.000 0.000 7.811 0.000 -5.355 0.000 14.260" Properties=species:S:1:pos:R:3 pbc="T T T"
Ga 0.000 0.000 0.000
Ga -2.677 3.906 7.130
Ga 5.533 0.000 0.000
Ga 2.855 3.906 7.130
Pb -1.073 0.038 5.387
Pb -3.750 3.868 12.517
Pb 1.251 0.040 8.873
Pb 3.928 3.865 1.743
Pb 1.782 3.946 12.516
Pb 4.460 7.771 5.386
Pb 9.461 3.944 1.743
Pb 6.784 7.773 8.873
Br -0.573 1.277 2.766
Br -3.251 2.629 9.896
Br 1.162 5.149 1.220
Br -1.515 6.568 8.349
Br -2.588 1.611 14.259
Br 0.090 2.294 7.129
Br -0.985 5.150 13.043
Br 1.693 6.568 5.913
Br 0.743 1.283 11.491
Br 3.421 2.623 4.361
Br 2.290 5.189 9.899
Br 4.967 6.529 2.769
Br 4.018 1.244 8.346
Br 6.696 2.662 1.217
Br 5.621 5.517 7.131
Br 8.299 6.200 0.001
Br 7.226 1.244 5.910
Br 4.548 2.662 13.040
Br 8.961 5.182 4.364
Br 6.284 6.535 11.494
```

Results
E_tot = -101.06 eV per cell
D(E_F) = 0.00 states/eV/f.u.
ΔE_f (raw) = -6.46 eV per formula unit
SG = P2_1/c

Entry 2:
This record from Alexandria via LeMat-Bulk describes an optimized crystal structure of BaSr6Ag2. The functional is PBE.

Cell and atoms, written as extended XYZ:
```
9
Lattice="9.689 -2.231 0.000 9.689 2.231 0.000 -4.150 0.000 10.163" Properties=species:S:1:pos:R:3 pbc="T T T"
Ba 0.000 0.000 0.000
Sr 0.961 0.000 4.347
Sr 1.960 0.000 8.808
Sr 7.168 0.000 2.887
Sr 8.059 0.000 7.276
Sr 13.267 0.000 1.355
Sr 14.267 0.000 5.816
Ag 4.077 0.000 3.559
Ag 11.150 0.000 6.604
```

Results
E_tot = -18.57 eV per cell
D(E_F) = 8.10 states/eV/f.u.
SG = C2/m

Entry 3:
This record from Alexandria via LeMat-Bulk describes an optimized crystal structure of TaAl2Tl. The functional is PBE.

Cell and atoms, written as extended XYZ:
```
4
Lattice="1.551 0.895 9.435 -1.551 0.895 9.435 0.000 -1.791 9.435" Properties=species:S:1:pos:R:3 pbc="T T T"
Ta 0.000 0.000 0.000
Al 0.000 0.000 7.268
Al 0.000 0.000 21.036
Tl 0.000 0.000 14.152
```

Results
E_tot = -21.11 eV per cell
D(E_F) = 3.91 states/eV/f.u.
SG = R-3m
E above lowest polymorph = 0.026 eV per atom

Entry 4:
This record from Alexandria via LeMat-Bulk describes an optimized crystal structure of Ba3AcLa2Te6. The functional is PBE.

Cell and atoms, written as extended XYZ:
```
12
Lattice="4.128 -7.141 0.000 4.128 7.141 0.000 -2.750 0.000 7.956" Properties=species:S:1:pos:R:3 pbc="T T T"
Ba 0.000 0.000 0.000
Ba 4.128 2.356 0.000
Ba 4.128 -2.356 0.000
Ac 2.753 0.000 3.978
La 2.753 4.756 3.978
La 2.753 -4.756 3.978
Te 1.353 2.420 2.136
Te -0.045 0.000 5.808
Te 1.353 -2.420 2.136
Te 4.153 2.420 5.820
Te 5.551 0.000 2.148
Te 4.153 -2.420 5.820
```

Results
E_tot = -58.40 eV per cell
D(E_F) = 6.06 states/eV/f.u.
ΔE_f (raw) = -19.82 eV per formula unit
SG = C2/m

Entry 5:
This record from Alexandria via LeMat-Bulk describes an optimized crystal structure of RuPtAu. The functional is PBE.

Cell and atoms, written as extended XYZ:
```
3
Lattice="2.814 0.000 0.000 -1.407 2.437 0.000 0.000 0.000 6.928" Properties=species:S:1:pos:R:3 pbc="T T T"
Ru 0.000 0.000 0.000
Pt 0.000 1.625 4.794
Au 1.407 0.812 2.345
```

Results
E_tot = -18.05 eV per cell
D(E_F) = 3.41 states/eV/f.u.
SG = P3m1
E above lowest polymorph = 0.002 eV per atom

Entry 6:
This record from Alexandria via LeMat-Bulk describes an optimized crystal structure of Pm7PrNd12. The functional is PBE.

Cell and atoms, written as extended XYZ:
```
20
Lattice="-5.829 5.829 5.829 5.829 -5.829 5.829 5.829 5.829 -5.829" Properties=species:S:1:pos:R:3 pbc="T T T"
Pm 2.915 2.915 -2.915
Pm 2.915 -2.915 2.915
Pm 5.829 0.000 0.000
Pm -2.915 2.915 2.915
Pm 0.000 5.829 0.000
Pm 0.000 0.000 5.829
Pm 2.915 2.915 2.915
Pr 0.000 0.000 0.000
Nd 5.829 2.905 -2.905
Nd 5.829 -2.905 2.905
Nd 2.905 5.829 -2.905
Nd 2.924 2.924 0.000
Nd 2.924 0.000 2.924
Nd 2.905 -2.905 5.829
Nd 5.829 2.905 2.905
Nd 0.000 2.924 2.924
Nd -2.905 5.829 2.905
Nd -2.905 2.905 5.829
Nd 2.905 5.829 2.905
Nd 2.905 2.905 5.829
```

Results
E_tot = -83.36 eV per cell
D(E_F) = 27.49 states/eV/f.u.
SG = Im-3m
E above lowest polymorph = 0.507 eV per atom

Entry 7:
This record from Alexandria via LeMat-Bulk describes an optimized crystal structure of AcZrN2. The functional is PBE.

Cell and atoms, written as extended XYZ:
```
4
Lattice="1.711 0.988 6.243 -1.711 0.988 6.243 0.000 -1.976 6.243" Properties=species:S:1:pos:R:3 pbc="T T T"
Ac 0.000 0.000 0.000
Zr 0.000 0.000 3.230
N 0.000 0.000 10.706
N 0.000 0.000 14.471
```

Results
E_tot = -33.97 eV per cell
D(E_F) = 1.23 states/eV/f.u.
ΔE_f (raw) = -4.67 eV per formula unit
SG = R3m
E above lowest polymorph = 0.000 eV per atom

Entry 8:
This record from Alexandria via LeMat-Bulk describes an optimized crystal structure of Y2CrRe. The functional is PBE.

Cell and atoms, written as extended XYZ:
```
4
Lattice="-1.703 2.477 5.069 1.703 -2.477 5.069 1.703 2.477 -5.069" Properties=species:S:1:pos:R:3 pbc="T T T"
Y 0.000 0.000 0.000
Y 0.000 2.477 2.219
Cr 1.703 0.000 2.863
Re 0.000 0.000 4.478
```

Results
E_tot = -34.11 eV per cell
D(E_F) = 3.07 states/eV/f.u.
SG = Imm2
E above lowest polymorph = 0.052 eV per atom

Entry 9:
This record from Alexandria via LeMat-Bulk describes an optimized crystal structure of BaTaO3. The functional is PBE.

Cell and atoms, written as extended XYZ:
```
5
Lattice="4.100 0.000 0.000 0.000 4.100 0.000 0.000 0.000 4.100" Properties=species:S:1:pos:R:3 pbc="T T T"
Ba 0.000 0.000 0.000
Ta 2.050 2.050 2.050
O 0.000 2.050 2.050
O 2.050 0.000 2.050
O 2.050 2.050 0.000
```

Results
E_tot = -42.88 eV per cell
D(E_F) = 1.20 states/eV/f.u.
ΔE_f (raw) = -14.23 eV per formula unit
SG = Pm-3m

Entry 10:
This record from Alexandria via LeMat-Bulk describes an optimized crystal structure of BaMoCl. The functional is PBE.

Cell and atoms, written as extended XYZ:
```
3
Lattice="0.000 3.826 3.826 3.826 0.000 3.826 3.826 3.826 0.000" Properties=species:S:1:pos:R:3 pbc="T T T"
Ba 0.000 0.000 0.000
Mo 5.739 5.739 5.739
Cl 3.826 3.826 3.826
```

Results
E_tot = -12.17 eV per cell
D(E_F) = 2.74 states/eV/f.u.
ΔE_f (raw) = 2.43 eV per formula unit
SG = F-43m
E above lowest polymorph = 1.442 eV per atom

Entry 11:
This record from Alexandria via LeMat-Bulk describes an optimized crystal structure of Lu2TlH. The functional is PBE.

Cell and atoms, written as extended XYZ:
```
4
Lattice="1.757 1.014 7.749 -1.757 1.014 7.749 0.000 -2.028 7.749" Properties=species:S:1:pos:R:3 pbc="T T T"
Lu 0.000 0.000 5.193
Lu 0.000 0.000 18.055
Tl 0.000 0.000 0.000
H 0.000 0.000 11.624
```

Results
E_tot = -15.80 eV per cell
D(E_F) = 3.15 states/eV/f.u.
SG = R-3m

Entry 12:
This record from Alexandria via LeMat-Bulk describes an optimized crystal structure of Ba3C. The functional is PBE.

Cell and atoms, written as extended XYZ:
```
4
Lattice="5.862 0.000 0.000 0.000 5.862 0.000 0.000 0.000 5.862" Properties=species:S:1:pos:R:3 pbc="T T T"
Ba 0.000 0.000 2.931
Ba 0.000 2.931 0.000
Ba 2.931 0.000 0.000
C 0.000 0.000 0.000
```

Results
E_tot = -12.51 eV per cell
D(E_F) = 4.98 states/eV/f.u.
SG = Pm-3m
E above lowest polymorph = 0.244 eV per atom

- Number 4 is which compound?
  Ba3AcLa2Te6

- E_tot of number 8 (Y2CrRe)?
  -34.11 eV per cell